DFT (PBE) results for a geometry-optimized RbMgOs3 structure.

Output
Final energy in eV/atom: -3.55
Formation energy from the elements in meV per atom: 3704
Calculated density in g/cm3: 10.3
Relative energy among the computed polymorphs in meV per atom: 1079

Cell: 4.7810 4.7810 4.7810 Å, 90.00 90.00 90.00°
Fractional coordinates of all 5 atoms:
Mg 0.5000 0.5000 0.5000
Os 0.0000 0.5000 0.0000
Os 0.0000 0.0000 0.5000
Os 0.5000 0.0000 0.0000
Rb 0.0000 0.0000 0.0000


DFT (PBE) results for a geometry-optimized Rb2MgReOs structure.

Output
Final energy in eV/atom: -3.17
Formation energy from the elements in meV per atom: 2267
Calculated density in g/cm3: 4.7

Cell: 6.3112 5.1095 6.3112 Å, 90.00 90.00 90.00°
Fractional coordinates of all 5 atoms:
Re 0.5000 0.5000 0.5000
Mg 0.0000 0.5000 0.0000
Os 0.0000 0.0000 0.0000
Rb 0.0000 0.0000 0.5000
Rb 0.5000 0.0000 0.0000


DFT (PBE) results for a geometry-optimized Rb2MgOsSe structure.

Output
ΔE_f (raw) in eV per atom: 1.022
Final energy in eV/atom: -2.63
Calculated density in g/cm3: 3.2

Cell: 7.0415 4.8543 7.0415 Å, 90.00 90.00 90.00°
Fractional coordinates of all 5 atoms:
Mg 0.0000 0.0000 0.0000
Os 0.5000 0.5000 0.5000
Se 0.0000 0.5000 0.0000
Rb 0.0000 0.0000 0.5000
Rb 0.5000 0.0000 0.0000


DFT (PBE) results for a geometry-optimized RbSrMgOs2 structure.

Output
Final energy in eV/atom: -3.68
Formation energy from the elements in meV per atom: 1662
Calculated density in g/cm3: 7.0

Cell: 4.9101 5.6654 4.9101 Å, 90.00 90.00 90.00°
Fractional coordinates of all 5 atoms:
Sr 0.0000 0.5000 0.0000
Mg 0.0000 0.0000 0.0000
Os 0.0000 0.0000 0.5000
Os 0.5000 0.0000 0.0000
Rb 0.5000 0.5000 0.5000


DFT (PBE) results for a geometry-optimized RbMgV2Os structure.

Output
Final energy in eV/atom: -4.14
Formation energy from the elements in meV per atom: 2270
Calculated density in g/cm3: 5.7

Cell: 4.9283 4.7930 4.9283 Å, 90.00 90.00 90.00°
Fractional coordinates of all 5 atoms:
Mg 0.0000 0.0000 0.0000
Os 0.0000 0.5000 0.0000
Rb 0.5000 0.5000 0.5000
V 0.0000 0.0000 0.5000
V 0.5000 0.0000 0.0000


DFT (PBE) results for a geometry-optimized RbMgZr2Os structure.

Output
Final energy in eV/atom: -3.92
Formation energy from the elements in meV per atom: 2259
Calculated density in g/cm3: 6.7

Cell: 4.9898 4.9898 4.7977 Å, 90.00 90.00 90.00°
Fractional coordinates of all 5 atoms:
Mg 0.5000 0.5000 0.5000
Os 0.0000 0.0000 0.5000
Rb 0.0000 0.0000 0.0000
Zr 0.0000 0.5000 0.0000
Zr 0.5000 0.0000 0.0000